1.
! Y3TiCo | the Alexandria database | PBE | optimized geometry; values from VASP
! - E_tot: -6.63 eV per atom
! - Theoretical density: 4467 kg/m³
! - Total moment: 3.05 μB per formula unit
! - N(E_F): 3.31 states/eV/f.u.
&SYSTEM
  ibrav = 0, nat = 5, ntyp = 3
/
ATOMIC_SPECIES
Y 88.91 Y.upf
Co 58.93 Co.upf
Ti 47.87 Ti.upf
ATOMIC_POSITIONS angstrom
Y -0.3753 -0.4060 -2.5294
Y 0.7033 -2.4745 0.2929
Y -2.4633 -0.6446 0.4690
Co 0.0000 0.0000 0.0000
Ti -2.1353 -3.5251 -1.7675
CELL_PARAMETERS angstrom
-4.9267 -1.2892 0.9379
-0.7506 -0.8121 -5.0587
1.4065 -4.9490 0.5858

2.
! Pr6TeIr2S3 | the Alexandria database | PBE | optimized geometry; values from VASP
! - E_tot: -6.55 eV per atom
! - Theoretical density: 7437 kg/m³
! - Total moment: 0.00 μB per formula unit
! - N(E_F): 5.02 states/eV/f.u.
&SYSTEM
  ibrav = 0, nat = 12, ntyp = 4
/
ATOMIC_SPECIES
Pr 140.91 Pr.upf
Te 127.60 Te.upf
Ir 192.22 Ir.upf
S 32.06 S.upf
ATOMIC_POSITIONS angstrom
Pr 0.0000 6.0854 5.9426
Pr 2.0753 4.1701 3.1685
Pr 2.0753 0.0178 3.1811
Pr 0.0000 2.3648 0.1995
Pr 2.0753 3.7383 8.9241
Pr 0.0000 1.9331 5.9552
Te 2.0753 0.0000 0.0000
Ir 2.0753 4.0444 6.0446
Ir 0.0000 2.0587 3.0791
S 2.0753 4.3573 0.1074
S 2.0753 -0.3789 6.0950
S 0.0000 6.4820 3.0287
CELL_PARAMETERS angstrom
4.1506 0.0000 0.0000
0.0000 8.7146 0.2147
-2.0753 -2.6114 8.9090

3.
! Gd3Tl5Cl12 | the Alexandria database | PBE | optimized geometry; values from VASP
! - E_tot: -5.19 eV per atom
! - Theoretical density: 4615 kg/m³
! - Total moment: 21.25 μB per formula unit
! - N(E_F): 20.05 states/eV/f.u.
&SYSTEM
  ibrav = 0, nat = 80, ntyp = 3
/
ATOMIC_SPECIES
Gd 157.25 Gd.upf
Tl 204.38 Tl.upf
Cl 35.45 Cl.upf
ATOMIC_POSITIONS angstrom
Gd 8.9301 4.5104 1.5624
Gd 8.9301 9.9228 1.5624
Gd -1.2757 6.3145 7.8122
Gd 1.2757 -0.9021 4.6873
Gd 11.4815 0.0000 3.1249
Gd 1.2757 7.2166 3.1249
Gd 3.8272 0.0000 9.3746
Gd -6.3786 7.2166 9.3746
Gd 3.8272 8.1187 7.8122
Gd 6.3786 0.9021 4.6873
Gd -3.8272 -2.7062 10.9371
Gd -3.8272 2.7062 10.9371
Tl -1.2757 3.6083 3.1249
Tl -2.5514 7.2166 0.0000
Tl 0.0000 0.0000 0.0000
Tl 3.8272 2.7062 1.5624
Tl 5.1029 -3.6083 6.2497
Tl 5.1029 7.2166 0.0000
Tl -3.8272 8.1187 4.6873
Tl 6.3786 -4.5104 10.9371
Tl 6.3786 6.3145 4.6873
Tl 1.2757 -3.6083 9.3746
Tl 3.8272 10.8249 3.1249
Tl 2.5514 3.6083 6.2497
Tl 7.6543 0.0000 0.0000
Tl -2.5514 -3.6083 6.2497
Tl -1.2757 0.9021 7.8122
Tl -1.2757 11.7270 1.5624
Tl -5.1029 3.6083 6.2497
Tl 8.9301 -0.9021 7.8122
Tl 1.2757 4.5104 10.9371
Tl 6.3786 3.6083 9.3746
Cl 10.3618 1.2802 0.9445
Cl -0.1560 5.0663 5.6133
Cl 10.9406 3.5451 3.1973
Cl 6.9195 2.6119 1.5809
Cl 2.2469 5.9159 8.3577
Cl 10.4801 6.7345 2.1079
Cl -0.7348 8.1498 4.7783
Cl -4.3681 11.8213 1.5809
Cl 0.3045 8.5173 8.3577
Cl 7.3800 7.6987 2.1079
Cl 7.4984 3.4305 4.6688
Cl 7.4984 13.1530 0.9445
Cl -4.7984 6.5876 7.1942
Cl 2.8258 5.6321 1.4715
Cl -4.9469 11.0027 4.6688
Cl 2.3955 -2.1503 6.8862
Cl -0.3045 0.6717 3.0524
Cl 2.8258 9.2832 0.6364
Cl 6.9195 10.8881 3.1973
Cl -0.2743 5.1500 0.6364
Cl -2.8559 7.8883 9.4471
Cl 3.2863 6.2833 4.7783
Cl 7.3498 7.8456 7.1942
Cl 5.3772 -1.5845 11.0280
Cl 1.8166 0.9332 7.7212
Cl -2.2469 -0.6290 5.3053
Cl -0.2743 8.8011 1.4715
Cl -1.8166 -3.6715 9.3022
Cl 7.9588 -0.6717 3.0524
Cl 5.3772 2.0666 11.8631
Cl 2.2771 -2.0666 11.8631
Cl 2.7074 9.3669 5.6133
Cl 5.4074 6.5449 9.4471
Cl 10.0498 -3.7861 7.8307
Cl 9.9013 0.6290 5.3053
Cl -2.3955 -5.9364 11.5550
Cl 2.2771 1.5845 11.0280
Cl 4.7984 -1.3007 4.1418
Cl -2.2771 -0.4821 10.3916
Cl -2.3955 3.7861 7.8307
Cl 9.4710 -4.6047 10.9186
Cl 5.8377 -0.9332 7.7212
Cl -1.8166 4.6047 10.9186
Cl -5.3772 0.4821 10.3916
Cl 2.8559 1.3007 4.1418
Cl -5.8377 3.6715 9.3022
Cl 5.2589 2.1503 6.8862
Cl -5.2589 5.9364 11.5550
CELL_PARAMETERS angstrom
15.3087 0.0000 0.0000
-5.1029 14.4332 0.0000
-5.1029 -7.2166 12.4995